Na2HfZr | PBE-GGA | relaxed

a b c (Å): 8.518 8.518 5.554
angles (deg): 90.00 90.00 90.00
Space group I-42d (No. 122)
One atom of each set of equivalent atoms:
Na 0.249 0.250 0.125
Hf 0.000 0.000 0.500
Zr 0.000 0.000 0.000

- DFT total energy (eV/atom) = -4.27
- D(E_F) (states/eV/atom) = 0.917
- ΔH_f (0 K) (meV per atom) = 1018.0
- theoretical density (kg/m3) = 5204
- magnetic moment (μB/atom) = 0.000